Record 1
! VCd2Pd2 PBE relaxed; values from VASP
&SYSTEM
  ibrav = 0, nat = 10, ntyp = 3
/
ATOMIC_SPECIES
V 50.94 V.upf
Cd 112.41 Cd.upf
Pd 106.42 Pd.upf
CELL_PARAMETERS angstrom
6.7225 0.0000 0.0000
0.0000 6.7225 0.0000
0.0000 0.0000 4.0798
ATOMIC_POSITIONS angstrom
V 0.0000 0.0000 0.0000
V 3.3612 3.3612 0.0000
Cd 1.1063 2.2549 2.0399
Cd 2.2549 5.6162 2.0399
Cd 4.4676 1.1063 2.0399
Cd 5.6162 4.4676 2.0399
Pd 0.9465 4.3077 0.0000
Pd 2.4148 0.9465 0.0000
Pd 4.3077 5.7760 0.0000
Pd 5.7760 2.4148 0.0000
! Symmetry: P4/mbm, No. 127
! Fermi-level density of states: 9.3 states/eV per cell
! Volume: 184 Å³ per cell

Record 2
! CdPd3W PBE relaxed; values from VASP
&SYSTEM
  ibrav = 0, nat = 5, ntyp = 3
/
ATOMIC_SPECIES
Cd 112.41 Cd.upf
Pd 106.42 Pd.upf
W 183.84 W.upf
CELL_PARAMETERS angstrom
4.8434 0.0000 0.0000
0.0000 4.8434 0.0000
0.0000 0.0000 4.8434
ATOMIC_POSITIONS angstrom
Cd 0.0000 0.0000 0.0000
Pd 0.0000 2.4217 2.4217
Pd 2.4217 0.0000 2.4217
Pd 2.4217 2.4217 0.0000
W 2.4217 2.4217 2.4217
! Symmetry: Pm-3m, No. 221
! Fermi-level density of states: 4.8 states/eV per cell
! Volume: 114 Å³ per cell
! Energy above the lowest structure with this stoichiometry: 0.0 meV/atom

Number 1: ΔH_f (0 K) -0.033 eV/atom, spin magnetization 4.9 μB per cell. Number 2: ΔH_f (0 K) 1.009 eV/atom, spin magnetization 0.0 μB per cell.